The following is a PBE+U calculation of a geometry-optimized BaMnCd2F8 structure, from the Alexandria database.

Computed properties:
**N(E_F)**: 0.000 states/eV/atom
**Size of the total moment**: 5.00 μB per formula unit
**E_tot**: -58.429 eV per cell
**Calculated density**: 4.83 g cm⁻³

abc: 4.7553 7.4956 5.4961
angles: 90.00 91.58 90.00
Fractional positions:
Ba 0.0000 0.0000 0.0000
Mn 0.0000 0.5000 0.0000
Cd 0.5000 0.2666 0.5000
Cd 0.5000 0.7334 0.5000
F 0.1341 0.2882 0.2391
F 0.1341 0.7118 0.2391
F 0.3500 0.5000 0.7397
F 0.4406 0.0000 0.7284
F 0.5594 0.0000 0.2716
F 0.6500 0.5000 0.2603
F 0.8659 0.2882 0.7609
F 0.8659 0.7118 0.7609